1.
Zn2IrSe: relaxed, GGA-PBE.

The structure in CIF format:
```
data_Zn2IrSe
_chemical_formula_sum 'Zn2 Ir1 Se1'
_cell_length_a 2.9153
_cell_length_b 2.9153
_cell_length_c 8.1356
_cell_angle_alpha 90.00
_cell_angle_beta 90.00
_cell_angle_gamma 90.00
_space_group_name_H-M_alt 'P 1'
_space_group_IT_number 1
loop_
_space_group_symop_operation_xyz
'x,y,z'
loop_
_atom_site_label
_atom_site_fract_x
_atom_site_fract_y
_atom_site_fract_z
_atom_site_occupancy
Zn1 0.0000 0.0000 0.1978 1
Zn2 0.0000 0.0000 0.8022 1
Ir1 0.5000 0.5000 0.0000 1
Se1 0.5000 0.5000 0.5000 1
```

Summary:
Space-group type: P4/mmm, No. 123
DFT total energy, eV/atom: -3.703
Total magnetization, μB per atom: 0.0000



2.
Na3TbSc2O6: relaxed, GGA-PBE.

The structure in CIF format:
```
data_Na3TbSc2O6
_chemical_formula_sum 'Na3 Tb1 Sc2 O6'
_cell_length_a 5.6749
_cell_length_b 5.6749
_cell_length_c 5.8348
_cell_angle_alpha 99.28
_cell_angle_beta 99.28
_cell_angle_gamma 120.04
_space_group_name_H-M_alt 'P 1'
_space_group_IT_number 1
loop_
_space_group_symop_operation_xyz
'x,y,z'
loop_
_atom_site_label
_atom_site_fract_x
_atom_site_fract_y
_atom_site_fract_z
_atom_site_occupancy
Na1 0.0000 0.0000 0.0000 1
Na2 0.3287 0.6713 0.0000 1
Na3 0.6713 0.3287 0.0000 1
Tb1 0.5000 0.5000 0.5000 1
Sc1 0.1666 0.8334 0.5000 1
Sc2 0.8334 0.1666 0.5000 1
O1 0.0822 0.4318 0.2950 1
O2 0.2189 0.2189 0.7070 1
O3 0.4318 0.0822 0.2950 1
O4 0.5682 0.9178 0.7050 1
O5 0.7811 0.7811 0.2930 1
O6 0.9178 0.5682 0.7050 1
```

Summary:
Space-group type: C2/m, No. 12
DFT total energy, eV/atom: -7.058
Total magnetization, μB per atom: 0.0000



3.
Na2HoPaO5: relaxed, GGA-PBE.

The structure in CIF format:
```
data_Na2HoPaO5
_chemical_formula_sum 'Na2 Ho1 Pa1 O5'
_cell_length_a 4.1890
_cell_length_b 4.1890
_cell_length_c 8.6694
_cell_angle_alpha 90.00
_cell_angle_beta 90.00
_cell_angle_gamma 90.00
_space_group_name_H-M_alt 'P 1'
_space_group_IT_number 1
loop_
_space_group_symop_operation_xyz
'x,y,z'
loop_
_atom_site_label
_atom_site_fract_x
_atom_site_fract_y
_atom_site_fract_z
_atom_site_occupancy
Na1 0.0000 0.0000 0.2355 1
Na2 0.0000 0.0000 0.7645 1
Ho1 0.5000 0.5000 0.5000 1
Pa1 0.5000 0.5000 0.0000 1
O1 0.0000 0.0000 0.5000 1
O2 0.0000 0.5000 0.0000 1
O3 0.5000 0.0000 0.0000 1
O4 0.5000 0.5000 0.2554 1
O5 0.5000 0.5000 0.7446 1
```

Summary:
Space-group type: P4/mmm, No. 123
DFT total energy, eV/atom: -7.234
Total magnetization, μB per atom: 0.0000



Which value of total magnetization does entry 1 give?
0.0000 μB per atom